(1)
Computed, not measured: crystalline ScBeOs2 at its relaxed geometry at the PBE-GGA level of DFT.

```
data_ScBeOs2
_chemical_formula_sum 'Sc1 Be1 Os2'
_space_group_name_H-M_alt 'P m m m'
_space_group_IT_number 47
_space_group_name_Hall '-P 2 2'
_cell_length_a 3.017
_cell_length_b 4.141
_cell_length_c 4.595
_cell_angle_alpha 90.00
_cell_angle_beta 90.00
_cell_angle_gamma 90.00
loop_
_atom_site_label
_atom_site_fract_x
_atom_site_fract_y
_atom_site_fract_z
Sc1 0.000 0.000 0.000
Be1 0.500 0.000 0.500
Os1 0.000 0.500 0.500
Os2 0.500 0.500 0.000
```

- VASP energy: -8.11 eV per atom
- Formation enthalpy at 0 K: 6 kJ/mol of formula units
- Crystal system: orthorhombic


(2)
Computed, not measured: crystalline Na2CaMg at its relaxed geometry at the PBE-GGA level of DFT.

```
data_Na2CaMg
_chemical_formula_sum 'Na2 Ca1 Mg1'
_space_group_name_H-M_alt 'P 4/m m m'
_space_group_IT_number 123
_space_group_name_Hall '-P 4 2'
_cell_length_a 4.897
_cell_length_b 4.897
_cell_length_c 5.653
_cell_angle_alpha 90.00
_cell_angle_beta 90.00
_cell_angle_gamma 90.00
loop_
_atom_site_label
_atom_site_fract_x
_atom_site_fract_y
_atom_site_fract_z
Na1 0.000 0.500 0.000
Ca1 0.000 0.000 0.500
Mg1 0.500 0.500 0.500
```

- VASP energy: -1.48 eV per atom
- Formation enthalpy at 0 K: 29 kJ/mol of formula units
- Crystal system: tetragonal